# 1
# LiZrCoBr2 (PBE-GGA, relaxed)
data_LiZrCoBr2
_symmetry_space_group_name_H-M 'P 1'
_symmetry_Int_Tables_number 1
_symmetry_space_group_name_Hall 'P 1'
_cell_length_a 5.1950
_cell_length_b 5.1950
_cell_length_c 6.5915
_cell_angle_alpha 90.00
_cell_angle_beta 90.00
_cell_angle_gamma 90.00
loop_
_atom_site_label
_atom_site_type_symbol
_atom_site_fract_x
_atom_site_fract_y
_atom_site_fract_z
Li1 Li 0.0000 0.0000 0.0000
Zr1 Zr 0.0000 0.0000 0.5000
Co1 Co 0.5000 0.5000 0.0000
Br1 Br 0.0000 0.5000 0.5000
Br2 Br 0.5000 0.0000 0.5000
# Fermi-level density of states (states/eV per cell): 3.43
# Formation energy from raw total energies (kJ/mol of atoms): 51.2
# Total moment (μB/atom): 0.809
# Raw total energy (eV/atom): -3.652

=====

# 2
# Mg2CoBr (PBE-GGA, relaxed)
data_Mg2CoBr
_symmetry_space_group_name_H-M 'P 1'
_symmetry_Int_Tables_number 1
_symmetry_space_group_name_Hall 'P 1'
_cell_length_a 4.9379
_cell_length_b 4.9379
_cell_length_c 3.1540
_cell_angle_alpha 90.00
_cell_angle_beta 90.00
_cell_angle_gamma 101.96
loop_
_atom_site_label
_atom_site_type_symbol
_atom_site_fract_x
_atom_site_fract_y
_atom_site_fract_z
Mg1 Mg 0.0000 0.5000 0.0000
Mg2 Mg 0.5000 0.0000 0.0000
Co1 Co 0.0000 0.0000 0.5000
Br1 Br 0.5000 0.5000 0.5000
# Fermi-level density of states (states/eV per cell): 3.05
# Polymorph energy (0 for the lowest one) (meV/atom): 245
# Formation energy from raw total energies (kJ/mol of atoms): 8.3
# Total moment (μB/atom): 0.275
# Raw total energy (eV/atom): -2.906

=====

# 3
# MgCoBr2 (PBE-GGA, relaxed)
data_MgCoBr2
_symmetry_space_group_name_H-M 'P 1'
_symmetry_Int_Tables_number 1
_symmetry_space_group_name_Hall 'P 1'
_cell_length_a 7.1692
_cell_length_b 7.1692
_cell_length_c 7.1692
_cell_angle_alpha 132.63
_cell_angle_beta 132.63
_cell_angle_gamma 69.24
loop_
_atom_site_label
_atom_site_type_symbol
_atom_site_fract_x
_atom_site_fract_y
_atom_site_fract_z
Mg1 Mg 0.0000 0.0000 0.0000
Mg2 Mg 0.7500 0.2500 0.5000
Co1 Co 0.2500 0.7500 0.5000
Co2 Co 0.5000 0.5000 0.0000
Br1 Br 0.1563 0.6250 0.0313
Br2 Br 0.3750 0.4063 0.5313
Br3 Br 0.5937 0.1250 0.9687
Br4 Br 0.8750 0.8437 0.4687
# Fermi-level density of states (states/eV per cell): 5.76
# Polymorph energy (0 for the lowest one) (meV/atom): 264
# Formation energy from raw total energies (kJ/mol of atoms): -9.5
# Total moment (μB/atom): 0.295
# Raw total energy (eV/atom): -3.110

=====

# 4
# Mg2CoBr (PBE-GGA, relaxed)
data_Mg2CoBr
_symmetry_space_group_name_H-M 'P 1'
_symmetry_Int_Tables_number 1
_symmetry_space_group_name_Hall 'P 1'
_cell_length_a 3.3588
_cell_length_b 3.3588
_cell_length_c 8.2545
_cell_angle_alpha 101.79
_cell_angle_beta 101.79
_cell_angle_gamma 60.20
loop_
_atom_site_label
_atom_site_type_symbol
_atom_site_fract_x
_atom_site_fract_y
_atom_site_fract_z
Mg1 Mg 0.2418 0.2418 0.2260
Mg2 Mg 0.7582 0.7582 0.7740
Co1 Co 0.5000 0.5000 0.0000
Br1 Br 0.0000 0.0000 0.5000
# Fermi-level density of states (states/eV per cell): 2.81
# Polymorph energy (0 for the lowest one) (meV/atom): 87
# Formation energy from raw total energies (kJ/mol of atoms): -6.9
# Total moment (μB/atom): 0.348
# Raw total energy (eV/atom): -3.063

=====

# 5
# Mg2CoBr (PBE-GGA, relaxed)
data_Mg2CoBr
_symmetry_space_group_name_H-M 'P 1'
_symmetry_Int_Tables_number 1
_symmetry_space_group_name_Hall 'P 1'
_cell_length_a 6.7387
_cell_length_b 6.7387
_cell_length_c 4.2939
_cell_angle_alpha 90.24
_cell_angle_beta 90.24
_cell_angle_gamma 27.45
loop_
_atom_site_label
_atom_site_type_symbol
_atom_site_fract_x
_atom_site_fract_y
_atom_site_fract_z
Mg1 Mg 0.0000 0.0000 0.0000
Mg2 Mg 0.1599 0.1599 0.5014
Co1 Co 0.5032 0.5032 0.5000
Br1 Br 0.8324 0.8324 0.4991
# Fermi-level density of states (states/eV per cell): 2.97
# Polymorph energy (0 for the lowest one) (meV/atom): 162
# Formation energy from raw total energies (kJ/mol of atoms): 0.3
# Total moment (μB/atom): 0.155
# Raw total energy (eV/atom): -2.989

=====

# 6
# MgCo2Br (PBE-GGA, relaxed)
data_MgCo2Br
_symmetry_space_group_name_H-M 'P 1'
_symmetry_Int_Tables_number 1
_symmetry_space_group_name_Hall 'P 1'
_cell_length_a 4.9484
_cell_length_b 4.9484
_cell_length_c 4.9484
_cell_angle_alpha 134.09
_cell_angle_beta 134.09
_cell_angle_gamma 66.95
loop_
_atom_site_label
_atom_site_type_symbol
_atom_site_fract_x
_atom_site_fract_y
_atom_site_fract_z
Mg1 Mg 0.0000 0.0000 0.0000
Co1 Co 0.5000 0.5000 0.0000
Co2 Co 0.7500 0.2500 0.5000
Br1 Br 0.2500 0.7500 0.5000
# Fermi-level density of states (states/eV per cell): 5.99
# Polymorph energy (0 for the lowest one) (meV/atom): 518
# Formation energy from raw total energies (kJ/mol of atoms): 55.8
# Total moment (μB/atom): 0.717
# Raw total energy (eV/atom): -3.791

=====

# 7
# MgCoBr2 (PBE-GGA, relaxed)
data_MgCoBr2
_symmetry_space_group_name_H-M 'P 1'
_symmetry_Int_Tables_number 1
_symmetry_space_group_name_Hall 'P 1'
_cell_length_a 8.0857
_cell_length_b 8.0857
_cell_length_c 8.0857
_cell_angle_alpha 27.04
_cell_angle_beta 27.04
_cell_angle_gamma 27.04
loop_
_atom_site_label
_atom_site_type_symbol
_atom_site_fract_x
_atom_site_fract_y
_atom_site_fract_z
Mg1 Mg 0.0000 0.0000 0.0000
Co1 Co 0.5000 0.5000 0.5000
Br1 Br 0.4010 0.4010 0.4010
Br2 Br 0.5990 0.5990 0.5990
# Fermi-level density of states (states/eV per cell): 2.33
# Polymorph energy (0 for the lowest one) (meV/atom): 256
# Formation energy from raw total energies (kJ/mol of atoms): -10.3
# Total moment (μB/atom): 0.286
# Raw total energy (eV/atom): -3.118

=====

# 8
# MgCoBr2 (PBE-GGA, relaxed)
data_MgCoBr2
_symmetry_space_group_name_H-M 'P 1'
_symmetry_Int_Tables_number 1
_symmetry_space_group_name_Hall 'P 1'
_cell_length_a 3.7602
_cell_length_b 3.5499
_cell_length_c 7.6830
_cell_angle_alpha 90.00
_cell_angle_beta 101.91
_cell_angle_gamma 90.00
loop_
_atom_site_label
_atom_site_type_symbol
_atom_site_fract_x
_atom_site_fract_y
_atom_site_fract_z
Mg1 Mg 0.0000 0.0000 0.0000
Co1 Co 0.5439 0.5000 0.1021
Br1 Br 0.3644 0.5000 0.7912
Br2 Br 0.6496 0.0000 0.3150
# Fermi-level density of states (states/eV per cell): 2.10
# Polymorph energy (0 for the lowest one) (meV/atom): 0
# Formation energy from raw total energies (kJ/mol of atoms): -35.0
# Total moment (μB/atom): 0.250
# Raw total energy (eV/atom): -3.374

=====

# 9
# MgCo2Br (PBE-GGA, relaxed)
data_MgCo2Br
_symmetry_space_group_name_H-M 'P 1'
_symmetry_Int_Tables_number 1
_symmetry_space_group_name_Hall 'P 1'
_cell_length_a 4.4684
_cell_length_b 4.4684
_cell_length_c 4.4684
_cell_angle_alpha 60.00
_cell_angle_beta 60.00
_cell_angle_gamma 60.00
loop_
_atom_site_label
_atom_site_type_symbol
_atom_site_fract_x
_atom_site_fract_y
_atom_site_fract_z
Mg1 Mg 0.0000 0.0000 0.0000
Co1 Co 0.5000 0.5000 0.5000
Co2 Co 0.7500 0.7500 0.7500
Br1 Br 0.2500 0.2500 0.2500
# Fermi-level density of states (states/eV per cell): 6.64
# Polymorph energy (0 for the lowest one) (meV/atom): 589
# Formation energy from raw total energies (kJ/mol of atoms): 62.7
# Total moment (μB/atom): 0.696
# Raw total energy (eV/atom): -3.720

=====

# 10
# Mg2CoBr (PBE-GGA, relaxed)
data_Mg2CoBr
_symmetry_space_group_name_H-M 'P 1'
_symmetry_Int_Tables_number 1
_symmetry_space_group_name_Hall 'P 1'
_cell_length_a 3.2753
_cell_length_b 3.2753
_cell_length_c 8.6203
_cell_angle_alpha 90.00
_cell_angle_beta 90.00
_cell_angle_gamma 116.95
loop_
_atom_site_label
_atom_site_type_symbol
_atom_site_fract_x
_atom_site_fract_y
_atom_site_fract_z
Mg1 Mg 0.0000 0.0000 0.0000
Mg2 Mg 0.5000 0.5000 0.2968
Co1 Co 0.5000 0.5000 0.7716
Br1 Br 0.0000 0.0000 0.5551
# Fermi-level density of states (states/eV per cell): 4.34
# Polymorph energy (0 for the lowest one) (meV/atom): 381
# Formation energy from raw total energies (kJ/mol of atoms): 21.4
# Total moment (μB/atom): 0.409
# Raw total energy (eV/atom): -2.770

=====

# 11
# MgCo2Br (PBE-GGA, relaxed)
data_MgCo2Br
_symmetry_space_group_name_H-M 'P 1'
_symmetry_Int_Tables_number 1
_symmetry_space_group_name_Hall 'P 1'
_cell_length_a 4.8986
_cell_length_b 4.8986
_cell_length_c 6.5367
_cell_angle_alpha 112.41
_cell_angle_beta 112.41
_cell_angle_gamma 39.15
loop_
_atom_site_label
_atom_site_type_symbol
_atom_site_fract_x
_atom_site_fract_y
_atom_site_fract_z
Mg1 Mg 0.0000 0.0000 0.0000
Co1 Co 0.3093 0.3093 0.1226
Co2 Co 0.6907 0.6907 0.8774
Br1 Br 0.5000 0.5000 0.5000
# Fermi-level density of states (states/eV per cell): 2.99
# Polymorph energy (0 for the lowest one) (meV/atom): 208
# Formation energy from raw total energies (kJ/mol of atoms): 26.0
# Total moment (μB/atom): 0.897
# Raw total energy (eV/atom): -4.100

=====

# 12
# MgCoBr2 (PBE-GGA, relaxed)
data_MgCoBr2
_symmetry_space_group_name_H-M 'P 1'
_symmetry_Int_Tables_number 1
_symmetry_space_group_name_Hall 'P 1'
_cell_length_a 8.9341
_cell_length_b 8.9341
_cell_length_c 8.9341
_cell_angle_alpha 23.64
_cell_angle_beta 23.64
_cell_angle_gamma 23.64
loop_
_atom_site_label
_atom_site_type_symbol
_atom_site_fract_x
_atom_site_fract_y
_atom_site_fract_z
Mg1 Mg 0.0000 0.0000 0.0000
Co1 Co 0.5000 0.5000 0.5000
Br1 Br 0.1102 0.1102 0.1102
Br2 Br 0.8898 0.8898 0.8898
# Fermi-level density of states (states/eV per cell): 4.85
# Polymorph energy (0 for the lowest one) (meV/atom): 215
# Formation energy from raw total energies (kJ/mol of atoms): -14.2
# Total moment (μB/atom): 0.607
# Raw total energy (eV/atom): -3.159

=====

Q: formation energy from raw total energies of number 11 (MgCo2Br)?
A: 26.0 kJ/mol of atoms